This record from Alexandria describes crystalline TmHgAu2 at its relaxed geometry. The functional is PBE.

```
data_TmHgAu2
_chemical_formula_sum 'Tm1 Hg1 Au2'
_cell_length_a 3.619
_cell_length_b 3.619
_cell_length_c 6.575
_cell_angle_alpha 90.00
_cell_angle_beta 90.00
_cell_angle_gamma 90.00
_symmetry_space_group_name_H-M 'P 4/m m m'
_symmetry_Int_Tables_number 123
_symmetry_space_group_name_Hall '-P 4 2'
loop_
_atom_site_label
_atom_site_type_symbol
_atom_site_fract_x
_atom_site_fract_y
_atom_site_fract_z
Tm1 Tm 0.000 0.000 0.000
Hg1 Hg 0.000 0.000 0.500
Au1 Au 0.500 0.500 0.240
```

Summary:
Calculated density, g cm⁻³: 14.72
Energy of formation from the pure elements, eV per atom: -0.5527
DFT total energy, eV per atom: -3.3847
Density of states at the Fermi level, states/eV per atom: 0.313
M_tot, μB per formula unit: 0.00

This record from Alexandria describes crystalline LaPr3Y3 at its relaxed geometry. The functional is PBE.

```
data_LaPr3Y3
_chemical_formula_sum 'La3 Pr9 Y9'
_cell_length_a 10.7815
_cell_length_b 10.7815
_cell_length_c 7.2818
_cell_angle_alpha 90.00
_cell_angle_beta 90.00
_cell_angle_gamma 120.00
_symmetry_space_group_name_H-M 'R 3 m'
_symmetry_Int_Tables_number 160
_symmetry_space_group_name_Hall 'R 3 -2"'
loop_
_atom_site_label
_atom_site_type_symbol
_atom_site_fract_x
_atom_site_fract_y
_atom_site_fract_z
La1 La 0.0000 0.0000 0.0000
Pr1 Pr 0.0453 0.5227 0.4868
Y1 Y 0.0883 0.5442 0.0227
```

Summary:
Calculated density, g cm⁻³: 5.63
Energy of formation from the pure elements, eV per atom: 0.2335
E above lowest polymorph, meV/atom: 0.0
DFT total energy, eV per atom: -5.2891
Density of states at the Fermi level, states/eV per atom: 1.466
M_tot, μB per formula unit: 0.00

This record from Alexandria describes crystalline Dy3I7O at its relaxed geometry. The functional is PBE.

```
data_Dy3I7O
_chemical_formula_sum 'Dy3 I7 O1'
_cell_length_a 8.3582
_cell_length_b 8.3582
_cell_length_c 7.8205
_cell_angle_alpha 90.00
_cell_angle_beta 90.00
_cell_angle_gamma 120.00
_symmetry_space_group_name_H-M 'P 3 m 1'
_symmetry_Int_Tables_number 156
_symmetry_space_group_name_Hall 'P 3 -2"'
loop_
_atom_site_label
_atom_site_type_symbol
_atom_site_fract_x
_atom_site_fract_y
_atom_site_fract_z
Dy1 Dy 0.0394 0.5197 0.0000
I1 I 0.1620 0.3241 0.2473
I2 I 0.3329 0.1664 0.7814
I3 I 0.6667 0.3333 0.2246
O1 O 0.3333 0.6667 0.9304
```

Summary:
Calculated density, g cm⁻³: 4.88
DFT total energy, eV per atom: -4.3926
Density of states at the Fermi level, states/eV per atom: 0.000
Raw formation energy, eV/f.u.: -18.70
M_tot, μB per formula unit: 0.00

This record from Alexandria describes crystalline KPmCrN3 at its relaxed geometry. The functional is PBE.

```
data_KPmCrN3
_chemical_formula_sum 'K4 Pm4 Cr4 N12'
_cell_length_a 13.447
_cell_length_b 3.732
_cell_length_c 7.975
_cell_angle_alpha 90.00
_cell_angle_beta 105.04
_cell_angle_gamma 90.00
_symmetry_space_group_name_H-M 'C 1 2/m 1'
_symmetry_Int_Tables_number 12
_symmetry_space_group_name_Hall '-C 2y'
loop_
_atom_site_label
_atom_site_type_symbol
_atom_site_fract_x
_atom_site_fract_y
_atom_site_fract_z
K1 K 0.136 0.000 0.068
Pm1 Pm 0.161 0.000 0.594
Cr1 Cr 0.008 0.500 0.332
N1 N 0.013 0.000 0.349
N2 N 0.123 0.500 0.788
N3 N 0.152 0.500 0.357
```

Summary:
Calculated density, g cm⁻³: 4.78
DFT total energy, eV per atom: -7.2055
Density of states at the Fermi level, states/eV per atom: 0.194
Raw formation energy, eV/f.u.: -2.79
M_tot, μB per formula unit: 0.00

This record from Alexandria describes crystalline LaTiIr3 at its relaxed geometry. The functional is PBE.

```
data_LaTiIr3
_chemical_formula_sum 'La1 Ti1 Ir3'
_cell_length_a 4.884
_cell_length_b 4.884
_cell_length_c 4.884
_cell_angle_alpha 90.00
_cell_angle_beta 90.00
_cell_angle_gamma 90.00
_symmetry_space_group_name_H-M 'P m -3 m'
_symmetry_Int_Tables_number 221
_symmetry_space_group_name_Hall '-P 4 2 3'
loop_
_atom_site_label
_atom_site_type_symbol
_atom_site_fract_x
_atom_site_fract_y
_atom_site_fract_z
La1 La 0.000 0.000 0.000
Ti1 Ti 0.500 0.500 0.500
Ir1 Ir 0.000 0.000 0.500
```

Summary:
Calculated density, g cm⁻³: 10.88
Energy of formation from the pure elements, eV per atom: 1.7972
E above lowest polymorph, meV/atom: 1791.0
DFT total energy, eV per atom: -6.0839
Density of states at the Fermi level, states/eV per atom: 1.214
M_tot, μB per formula unit: 0.00

This record from Alexandria describes crystalline TbPuO4F at its relaxed geometry. The functional is PBE.

```
data_TbPuO4F
_chemical_formula_sum 'Tb4 Pu4 O16 F4'
_cell_length_a 10.870
_cell_length_b 6.256
_cell_length_c 7.162
_cell_angle_alpha 90.00
_cell_angle_beta 91.45
_cell_angle_gamma 90.00
_symmetry_space_group_name_H-M 'C 1 2/m 1'
_symmetry_Int_Tables_number 12
_symmetry_space_group_name_Hall '-C 2y'
loop_
_atom_site_label
_atom_site_type_symbol
_atom_site_fract_x
_atom_site_fract_y
_atom_site_fract_z
Tb1 Tb 0.166 0.000 0.482
Pu1 Pu 0.152 0.500 0.108
O1 O 0.009 0.500 0.814
O2 O 0.196 0.000 0.992
O3 O 0.215 0.288 0.316
F1 F 0.014 0.000 0.678
```

Summary:
Calculated density, g cm⁻³: 6.63
DFT total energy, eV per atom: -8.6988
Density of states at the Fermi level, states/eV per atom: 0.815
Raw formation energy, eV/f.u.: -20.23
M_tot, μB per formula unit: 2.00

This record from Alexandria describes crystalline CaPmScTl at its relaxed geometry. The functional is PBE.

```
data_CaPmScTl
_chemical_formula_sum 'Ca4 Pm4 Sc4 Tl4'
_cell_length_a 7.691
_cell_length_b 7.691
_cell_length_c 7.691
_cell_angle_alpha 90.00
_cell_angle_beta 90.00
_cell_angle_gamma 90.00
_symmetry_space_group_name_H-M 'F -4 3 m'
_symmetry_Int_Tables_number 216
_symmetry_space_group_name_Hall 'F -4 2 3'
loop_
_atom_site_label
_atom_site_type_symbol
_atom_site_fract_x
_atom_site_fract_y
_atom_site_fract_z
Ca1 Ca 0.000 0.000 0.000
Pm1 Pm 0.250 0.250 0.250
Sc1 Sc 0.000 0.000 0.500
Tl1 Tl 0.250 0.250 0.750
```

Summary:
Calculated density, g cm⁻³: 6.34
Energy of formation from the pure elements, eV per atom: 0.0293
DFT total energy, eV per atom: -3.8332
Density of states at the Fermi level, states/eV per atom: 1.480
M_tot, μB per formula unit: 2.62

This record from Alexandria describes crystalline ReTe2BrN at its relaxed geometry. The functional is PBE.

```
data_ReTe2BrN
_chemical_formula_sum 'Re1 Te2 Br1 N1'
_cell_length_a 5.584
_cell_length_b 5.584
_cell_length_c 3.605
_cell_angle_alpha 90.00
_cell_angle_beta 90.00
_cell_angle_gamma 90.00
_symmetry_space_group_name_H-M 'P 4/m m m'
_symmetry_Int_Tables_number 123
_symmetry_space_group_name_Hall '-P 4 2'
loop_
_atom_site_label
_atom_site_type_symbol
_atom_site_fract_x
_atom_site_fract_y
_atom_site_fract_z
Re1 Re 0.000 0.000 0.000
Te1 Te 0.000 0.500 0.500
Br1 Br 0.500 0.500 0.500
N1 N 0.500 0.500 0.000
```

Summary:
Calculated density, g cm⁻³: 7.91
E above lowest polymorph, meV/atom: 1762.5
DFT total energy, eV per atom: -3.6141
Density of states at the Fermi level, states/eV per atom: 0.848
Raw formation energy, eV/f.u.: 10.66
M_tot, μB per formula unit: 2.76

This record from Alexandria describes crystalline IrRu2Au at its relaxed geometry. The functional is PBE.

```
data_IrRu2Au
_chemical_formula_sum 'Ir1 Ru2 Au1'
_cell_length_a 3.907
_cell_length_b 3.907
_cell_length_c 3.939
_cell_angle_alpha 90.00
_cell_angle_beta 90.00
_cell_angle_gamma 90.00
_symmetry_space_group_name_H-M 'P 4/m m m'
_symmetry_Int_Tables_number 123
_symmetry_space_group_name_Hall '-P 4 2'
loop_
_atom_site_label
_atom_site_type_symbol
_atom_site_fract_x
_atom_site_fract_y
_atom_site_fract_z
Ir1 Ir 0.000 0.000 0.000
Ru1 Ru 0.000 0.500 0.500
Au1 Au 0.500 0.500 0.000
```

Summary:
Calculated density, g cm⁻³: 16.33
Energy of formation from the pure elements, eV per atom: 0.4210
E above lowest polymorph, meV/atom: 207.1
DFT total energy, eV per atom: -7.2516
Density of states at the Fermi level, states/eV per atom: 1.775
M_tot, μB per formula unit: 1.45

This record from Alexandria describes crystalline Ac6AgPt3 at its relaxed geometry. The functional is PBE.

```
data_Ac6AgPt3
_chemical_formula_sum 'Ac12 Ag2 Pt6'
_cell_length_a 12.883
_cell_length_b 4.460
_cell_length_c 13.493
_cell_angle_alpha 90.00
_cell_angle_beta 112.83
_cell_angle_gamma 90.00
_symmetry_space_group_name_H-M 'P 1 21/m 1'
_symmetry_Int_Tables_number 11
_symmetry_space_group_name_Hall '-P 2yb'
loop_
_atom_site_label
_atom_site_type_symbol
_atom_site_fract_x
_atom_site_fract_y
_atom_site_fract_z
Ac1 Ac 0.051 0.250 0.396
Ac2 Ac 0.095 0.750 0.933
Ac3 Ac 0.245 0.750 0.264
Ac4 Ac 0.247 0.250 0.777
Ac5 Ac 0.411 0.250 0.566
Ac6 Ac 0.440 0.250 0.107
Ag1 Ag 0.209 0.750 0.573
Pt1 Pt 0.009 0.250 0.772
Pt2 Pt 0.338 0.750 0.943
Pt3 Pt 0.417 0.250 0.339
```

Summary:
Calculated density, g cm⁻³: 9.55
Energy of formation from the pure elements, eV per atom: -0.7752
DFT total energy, eV per atom: -5.3377
Density of states at the Fermi level, states/eV per atom: 0.797
M_tot, μB per formula unit: 0.00

This record from Alexandria describes crystalline CaCu6Au12 at its relaxed geometry. The functional is PBE.

```
data_CaCu6Au12
_chemical_formula_sum 'Ca2 Cu12 Au24'
_cell_length_a 8.730
_cell_length_b 8.730
_cell_length_c 8.730
_cell_angle_alpha 90.00
_cell_angle_beta 90.00
_cell_angle_gamma 90.00
_symmetry_space_group_name_H-M 'I m -3'
_symmetry_Int_Tables_number 204
_symmetry_space_group_name_Hall '-I 2 2 3'
loop_
_atom_site_label
_atom_site_type_symbol
_atom_site_fract_x
_atom_site_fract_y
_atom_site_fract_z
Ca1 Ca 0.000 0.000 0.000
Cu1 Cu 0.000 0.134 0.500
Au1 Au 0.000 0.279 0.181
```

Summary:
Calculated density, g cm⁻³: 13.90
Energy of formation from the pure elements, eV per atom: 0.0530
DFT total energy, eV per atom: -3.4158
Density of states at the Fermi level, states/eV per atom: 0.392
M_tot, μB per formula unit: 0.00

This record from Alexandria describes crystalline Na3ZnPd at its relaxed geometry. The functional is PBE.

```
data_Na3ZnPd
_chemical_formula_sum 'Na3 Zn1 Pd1'
_cell_length_a 5.322
_cell_length_b 5.322
_cell_length_c 5.322
_cell_angle_alpha 90.00
_cell_angle_beta 90.00
_cell_angle_gamma 90.00
_symmetry_space_group_name_H-M 'P m -3 m'
_symmetry_Int_Tables_number 221
_symmetry_space_group_name_Hall '-P 4 2 3'
loop_
_atom_site_label
_atom_site_type_symbol
_atom_site_fract_x
_atom_site_fract_y
_atom_site_fract_z
Na1 Na 0.000 0.000 0.500
Zn1 Zn 0.000 0.000 0.000
Pd1 Pd 0.500 0.500 0.500
```

Summary:
Calculated density, g cm⁻³: 2.65
Energy of formation from the pure elements, eV per atom: 0.4748
E above lowest polymorph, meV/atom: 254.5
DFT total energy, eV per atom: -1.6100
Density of states at the Fermi level, states/eV per atom: 0.456
M_tot, μB per formula unit: 0.00